This record from Alexandria describes a relaxed structure of La2Mn3. The functional is GGA-PBE.

POSCAR file:
```
La2Mn3
1.0
-6.215 -3.403 -5.383
-7.895 0.219 -1.275
-0.190 1.861 -5.415
Mn La
6 4
Cartesian
-3.336 -1.031 -2.852
-5.582 0.733 -6.959
-9.345 -0.216 -5.553
-9.426 0.720 -8.259
-12.652 -0.864 -10.290
-7.846 1.380 -6.523
-11.441 -1.512 -7.404
-6.538 -0.699 -4.267
-9.620 -1.613 -10.435
-7.374 -1.764 -7.535
```

**Space group**: Fdd2, No. 43
**Formation energy from the elements**: 224 meV per atom
**Volume**: 21.6 A^3/atom
**Calculated total energy**: -0.533 Ry per atom
**Total moment**: 2.102 μB per formula unit


This record from Alexandria describes a relaxed structure of La3Mn2. The functional is GGA-PBE.

POSCAR file:
```
La3Mn2
1.0
-6.295 7.258 8.001
-8.394 7.754 5.073
-8.945 4.886 7.241
La Mn
3 2
Cartesian
-4.981 4.193 4.282
0.000 0.000 0.000
-18.653 15.703 16.034
-9.340 7.863 8.029
-14.294 12.034 12.287
```

**Space group**: R-3m, No. 166
**Formation energy from the elements**: 437 meV per atom
**Volume**: 28.2 A^3/atom
**Calculated total energy**: -0.455 Ry per atom
**Total moment**: 6.144 μB per formula unit


This record from Alexandria describes a relaxed structure of La5Mn4. The functional is GGA-PBE.

POSCAR file:
```
La5Mn4
1.0
-4.878 4.878 2.404
4.878 -4.878 2.404
4.878 4.878 -2.404
La Mn
5 4
Cartesian
1.725 1.725 2.404
0.000 0.000 0.000
-1.725 1.725 2.404
1.725 -1.725 2.404
3.153 3.153 0.000
3.570 0.000 0.000
6.186 0.000 0.000
0.000 6.186 0.000
0.000 3.570 0.000
```

**Space group**: I4/mmm, No. 139
**Formation energy from the elements**: 410 meV per atom
**Volume**: 25.4 A^3/atom
**Calculated total energy**: -0.471 Ry per atom
**Total moment**: 12.939 μB per formula unit


This record from Alexandria describes a relaxed structure of LaMn6. The functional is GGA-PBE.

POSCAR file:
```
LaMn6
1.0
5.318 0.000 0.000
-1.773 5.014 0.000
-1.773 -2.507 4.342
Mn La
6 1
Cartesian
-0.886 0.627 3.256
2.659 1.880 1.085
-0.886 2.507 2.171
0.886 -0.627 3.256
0.886 3.133 1.085
2.659 0.000 2.171
0.000 0.000 0.000
```

**Space group**: Im-3m, No. 229
**Formation energy from the elements**: 623 meV per atom
**Volume**: 16.5 A^3/atom
**Calculated total energy**: -0.584 Ry per atom
**Total moment**: 0.000 μB per formula unit


This record from Alexandria describes a relaxed structure of La5Mn3. The functional is GGA-PBE.

POSCAR file:
```
La5Mn3
1.0
4.163 -5.304 0.000
4.163 5.304 0.000
0.000 0.000 5.091
Mn La
3 5
Cartesian
4.163 3.057 2.546
4.163 0.000 0.000
4.163 -3.057 2.546
2.456 0.000 2.546
5.870 0.000 2.546
2.082 2.652 0.000
0.000 0.000 0.000
2.082 -2.652 0.000
```

**Space group**: Cmmm, No. 65
**Formation energy from the elements**: 297 meV per atom
**Volume**: 28.1 A^3/atom
**Calculated total energy**: -0.457 Ry per atom
**Total moment**: 8.540 μB per formula unit


This record from Alexandria describes a relaxed structure of LaMn7. The functional is GGA-PBE.

POSCAR file:
```
LaMn7
1.0
0.000 3.937 3.937
3.937 0.000 3.937
3.937 3.937 0.000
Mn La
7 1
Cartesian
1.969 3.937 1.969
1.969 1.969 3.937
3.937 3.937 3.937
0.000 1.969 1.969
3.937 1.969 1.969
1.969 0.000 1.969
1.969 1.969 0.000
0.000 0.000 0.000
```

**Space group**: Fm-3m, No. 225
**Formation energy from the elements**: 457 meV per atom
**Volume**: 15.3 A^3/atom
**Calculated total energy**: -0.601 Ry per atom
**Total moment**: 15.079 μB per formula unit


Question: Among the records above, which one has the highest volume?
Answer: La3Mn2